1.
First-principles (GGA-PBEsol) data for Hg2Rh3 after structural relaxation, as listed in the Alexandria database.

Cell: 2.8728 2.8728 11.2571 Å, 82.67 82.67 60.00°
Positions (direct):
Hg1 0.5990 0.5990 0.2030
Hg2 0.4010 0.4010 0.7970
Rh1 0.0000 0.0000 0.0000
Rh2 0.1964 0.1964 0.4109
Rh3 0.8036 0.8036 0.5891

Computed properties:
* formation energy: 1.10 eV/f.u.
* Fermi-level density of states: 5.11 states/eV/cell
* total magnetization: 0.00 μB/cell
* total DFT energy (no corrections): -4.89 eV/atom
* SG: R-3m (166)

=====

2.
First-principles (GGA-PBEsol) data for Hg3Rh after structural relaxation, as listed in the Alexandria database.

Cell: 3.0395 3.0395 8.3778 Å, 90.00 90.00 90.00°
Positions (direct):
Hg1 0.0000 0.0000 0.2115
Hg2 0.0000 0.0000 0.7885
Hg3 0.5000 0.5000 0.5000
Rh1 0.5000 0.5000 0.0000

Computed properties:
* formation energy: 0.52 eV/f.u.
* Fermi-level density of states: 2.27 states/eV/cell
* total magnetization: 0.00 μB/cell
* total DFT energy (no corrections): -2.33 eV/atom
* SG: P4/mmm (123)

=====

3.
First-principles (GGA-PBEsol) data for Hg4Rh after structural relaxation, as listed in the Alexandria database.

Cell: 3.7810 3.7810 8.0188 Å, 103.64 103.64 90.00°
Positions (direct):
Rh1 0.0000 0.0000 0.0000
Hg1 0.5891 0.5891 0.1782
Hg2 0.4109 0.4109 0.8218
Hg3 0.7500 0.2500 0.5000
Hg4 0.2500 0.7500 0.5000

Computed properties:
* formation energy: 2.30 eV/f.u.
* Fermi-level density of states: 2.90 states/eV/cell
* total magnetization: 0.00 μB/cell
* total DFT energy (no corrections): -1.62 eV/atom
* SG: I4/mmm (139)

=====

4.
First-principles (GGA-PBEsol) data for HgRu2Rh after structural relaxation, as listed in the Alexandria database.

Cell: 2.7280 2.7280 9.4086 Å, 90.00 90.00 119.48°
Each line ends with the local moment (μB).
Positions (direct):
Ru1 0.0000 0.0000 0.2346  0.59
Ru2 0.0000 0.0000 0.7654  0.59
Rh1 0.5000 0.5000 0.0000  0.16
Hg1 0.5000 0.5000 0.5000  0.01

Computed properties:
* formation energy: 2.44 eV/f.u.
* Fermi-level density of states: 5.42 states/eV/cell
* total magnetization: 1.40 μB/cell
* total DFT energy (no corrections): -6.65 eV/atom
* SG: Cmmm (65)

=====

5.
First-principles (GGA-PBEsol) data for HgRu2Rh after structural relaxation, as listed in the Alexandria database.

Cell: 2.7646 3.7472 5.7459 Å, 90.00 90.00 90.00°
Positions (direct):
Hg1 0.5000 0.0000 0.5024
Ru1 0.5000 0.0000 0.0109
Ru2 0.0000 0.5000 0.2170
Rh1 0.0000 0.5000 0.7697

Computed properties:
* formation energy: 1.22 eV/f.u.
* Fermi-level density of states: 4.47 states/eV/cell
* total magnetization: 0.00 μB/cell
* total DFT energy (no corrections): -6.96 eV/atom
* SG: Pmm2 (25)

=====

6.
First-principles (GGA-PBEsol) data for HgRuRh2 after structural relaxation, as listed in the Alexandria database.

Cell: 3.8745 3.8745 4.8014 Å, 113.80 113.80 90.00°
Positions (direct):
Rh1 0.7500 0.2500 0.5000
Rh2 0.0000 0.0000 0.0000
Hg1 0.2500 0.7500 0.5000
Ru1 0.5000 0.5000 0.0000

Computed properties:
* formation energy: 1.26 eV/f.u.
* Fermi-level density of states: 4.95 states/eV/cell
* total magnetization: 0.00 μB/cell
* total DFT energy (no corrections): -6.44 eV/atom
* SG: I-4m2 (119)